# Pm4HoSc3S8

Pm4HoSc3S8 after structural relaxation (PBE, Alexandria via LeMat-Bulk).

- ΔE_f (raw) (eV/atom) = -1.9452
- DOS at the Fermi energy (states/eV/f.u.) = 8.7
- volume (Å³/atom) = 20.8
- space-group type = R-3m, No. 166

Cell lengths 7.863, 7.863, 7.863 Å; angles 58.66, 58.66, 58.66 degrees
Atoms (fractional coordinates):
Pm 0.000 0.000 0.000
Pm 0.000 0.500 0.500
Pm 0.500 0.000 0.500
Pm 0.500 0.500 0.000
Ho 0.500 0.500 0.500
Sc 0.000 0.000 0.500
Sc 0.000 0.500 0.000
Sc 0.500 0.000 0.000
S 0.235 0.745 0.745
S 0.240 0.240 0.240
S 0.255 0.255 0.765
S 0.255 0.765 0.255
S 0.745 0.235 0.745
S 0.745 0.745 0.235
S 0.760 0.760 0.760
S 0.765 0.255 0.255